(1)
The following is a PBE-GGA calculation of BiSbPt2 after structural relaxation, from Alexandria via LeMat-Bulk.

Lattice parameters (Å, degrees): 4.965 4.965 8.824 73.66 73.66 90.00
Element x y z (fractional)
Sb (0.500, 0.500, 0.000)
Sb (0.250, 0.750, 0.500)
Bi (0.000, 0.000, 0.000)
Bi (0.750, 0.250, 0.500)
Pt (0.583, 0.125, 0.250)
Pt (0.167, 0.625, 0.250)
Pt (0.375, 0.417, 0.750)
Pt (0.875, 0.833, 0.750)

Symmetry: I-42d, No. 122
Formation energy (no corrections): -105 meV/atom

---

(2)
The following is a PBE-GGA calculation of HoPuMnTc after structural relaxation, from Alexandria via LeMat-Bulk.

Lattice parameters (Å, degrees): 4.797 4.797 4.797 60.00 60.00 60.00
Last column: magnetic moment on the atom in μB.
Element x y z (fractional)
Tc (0.500, 0.500, 0.500)  -0.58
Mn (0.000, 0.000, 0.000)  -2.97
Ho (0.250, 0.250, 0.250)  0.08
Pu (0.750, 0.750, 0.750)  5.04

Energy of formation from the pure elements: 0.07 eV/atom
Symmetry: F-43m, No. 216

---

(3)
The following is a PBE-GGA calculation of SmHfBe17 after structural relaxation, from Alexandria via LeMat-Bulk.

Lattice parameters (Å, degrees): 5.766 5.766 5.766 82.94 82.94 82.94
Element x y z (fractional)
Sm (0.661, 0.661, 0.661)
Hf (0.336, 0.336, 0.336)
Be (0.280, 0.002, 0.716)
Be (0.716, 0.280, 0.002)
Be (0.002, 0.716, 0.280)
Be (0.280, 0.716, 0.002)
Be (0.002, 0.280, 0.716)
Be (0.716, 0.002, 0.280)
Be (0.337, 0.843, 0.337)
Be (0.337, 0.337, 0.843)
Be (0.843, 0.337, 0.337)
Be (0.658, 0.159, 0.658)
Be (0.658, 0.658, 0.159)
Be (0.159, 0.658, 0.658)
Be (0.005, 0.497, 0.005)
Be (0.005, 0.005, 0.497)
Be (0.497, 0.005, 0.005)
Be (0.907, 0.907, 0.907)
Be (0.098, 0.098, 0.098)

Energy of formation from the pure elements: -0.16 eV/atom
Symmetry: R3m, No. 160

---

(4)
The following is a PBE-GGA calculation of Nd2Ho3Sc4 after structural relaxation, from Alexandria via LeMat-Bulk.

Lattice parameters (Å, degrees): 5.830 10.856 10.856 62.23 63.76 63.76
Element x y z (fractional)
Nd (0.444, 0.237, 0.511)
Nd (0.056, 0.489, 0.763)
Nd (0.556, 0.763, 0.489)
Nd (0.944, 0.511, 0.237)
Ho (0.792, 0.056, 0.265)
Ho (0.708, 0.735, 0.944)
Ho (0.208, 0.944, 0.735)
Ho (0.292, 0.265, 0.056)
Ho (0.250, 0.616, 0.384)
Ho (0.750, 0.384, 0.616)
Sc (0.436, 0.918, 0.174)
Sc (0.064, 0.826, 0.082)
Sc (0.564, 0.082, 0.826)
Sc (0.936, 0.174, 0.918)
Sc (0.113, 0.133, 0.408)
Sc (0.387, 0.592, 0.867)
Sc (0.887, 0.867, 0.592)
Sc (0.613, 0.408, 0.133)

Energy of formation from the pure elements: 0.11 eV/atom
Symmetry: C2/c, No. 15

---

(5)
The following is a PBE-GGA calculation of Ca2HoHg9 after structural relaxation, from Alexandria via LeMat-Bulk.

Lattice parameters (Å, degrees): 4.641 4.641 14.055 90.00 90.00 90.00
Element x y z (fractional)
Ca (0.000, 0.000, 0.334)
Ca (0.000, 0.000, 0.666)
Ho (0.000, 0.000, 0.000)
Hg (0.500, 0.500, 0.000)
Hg (0.500, 0.500, 0.333)
Hg (0.500, 0.500, 0.667)
Hg (0.500, 0.000, 0.162)
Hg (0.500, 0.000, 0.500)
Hg (0.500, 0.000, 0.838)
Hg (0.000, 0.500, 0.162)
Hg (0.000, 0.500, 0.500)
Hg (0.000, 0.500, 0.838)

Energy of formation from the pure elements: -0.35 eV/atom
Symmetry: P4/mmm, No. 123

---

(6)
The following is a PBE-GGA calculation of Cs2BeZnBr6 after structural relaxation, from Alexandria via LeMat-Bulk.

Lattice parameters (Å, degrees): 7.644 7.644 7.817 60.73 60.73 90.00
Element x y z (fractional)
Cs (0.750, 0.250, 0.500)
Cs (0.250, 0.750, 0.500)
Be (0.500, 0.500, 0.000)
Zn (0.000, 0.000, 0.000)
Br (0.206, 0.206, 0.588)
Br (0.794, 0.794, 0.412)
Br (0.284, 0.284, 0.000)
Br (0.716, 0.716, 0.000)
Br (0.716, 0.284, 0.000)
Br (0.284, 0.716, 0.000)

Symmetry: I4/mmm, No. 139
Formation energy (no corrections): -1143 meV/atom

---

(7)
The following is a PBE-GGA calculation of Gd2CuBi after structural relaxation, from Alexandria via LeMat-Bulk.

Lattice parameters (Å, degrees): 4.044 5.051 5.051 90.00 90.00 90.00
Last column: magnetic moment on the atom in μB.
Element x y z (fractional)
Gd (0.000, 0.000, 0.500)  7.23
Gd (0.000, 0.500, 0.000)  7.23
Bi (0.500, 0.500, 0.500)  -0.07
Cu (0.500, 0.000, 0.000)  0.01

Energy of formation from the pure elements: -0.42 eV/atom
Symmetry: P4/mmm, No. 123

---

(8)
The following is a PBE-GGA calculation of Ce2PmIr2 after structural relaxation, from Alexandria via LeMat-Bulk.

Lattice parameters (Å, degrees): 4.542 4.542 5.871 90.03 90.03 108.12
Element x y z (fractional)
Ce (0.192, 0.808, 0.500)
Ce (0.808, 0.192, 0.500)
Pm (0.000, 0.000, 0.000)
Ir (0.500, 0.500, 0.241)
Ir (0.500, 0.500, 0.759)

Energy of formation from the pure elements: -0.25 eV/atom
Symmetry: Cmmm, No. 65

---

(9)
The following is a PBE-GGA calculation of La2DySc after structural relaxation, from Alexandria via LeMat-Bulk.

Lattice parameters (Å, degrees): 5.691 5.691 5.691 60.00 60.00 60.00
Element x y z (fractional)
Sc (0.500, 0.500, 0.500)
La (0.250, 0.250, 0.250)
La (0.750, 0.750, 0.750)
Dy (0.000, 0.000, 0.000)

Energy of formation from the pure elements: 0.08 eV/atom
Symmetry: Fm-3m, No. 225

---

(10)
The following is a PBE-GGA calculation of Na2As2Pb after structural relaxation, from Alexandria via LeMat-Bulk.

Lattice parameters (Å, degrees): 4.593 4.593 6.870 70.47 70.47 90.00
Element x y z (fractional)
Pb (0.000, 0.000, 0.000)
Na (0.750, 0.250, 0.500)
Na (0.250, 0.750, 0.500)
As (0.400, 0.400, 0.200)
As (0.600, 0.600, 0.800)

Energy of formation from the pure elements: -0.15 eV/atom
Symmetry: I4/mmm, No. 139

---

(11)
The following is a PBE-GGA calculation of CsIn2Br8 after structural relaxation, from Alexandria via LeMat-Bulk.

Lattice parameters (Å, degrees): 6.857 6.857 9.071 90.00 90.00 90.00
Element x y z (fractional)
Cs (0.500, 0.500, 0.500)
In (0.500, 0.000, 0.000)
In (0.000, 0.500, 0.000)
Br (0.752, 0.752, 0.188)
Br (0.752, 0.248, 0.812)
Br (0.752, 0.752, 0.812)
Br (0.752, 0.248, 0.188)
Br (0.248, 0.752, 0.188)
Br (0.248, 0.752, 0.812)
Br (0.248, 0.248, 0.188)
Br (0.248, 0.248, 0.812)

Symmetry: P4/mmm, No. 123
Formation energy (no corrections): -584 meV/atom

---

(12)
The following is a PBE-GGA calculation of CaAl3Au10 after structural relaxation, from Alexandria via LeMat-Bulk.

Lattice parameters (Å, degrees): 9.194 9.194 9.194 60.00 60.00 60.00
Element x y z (fractional)
Ca (0.250, 0.250, 0.250)
Ca (0.750, 0.750, 0.750)
Al (0.737, 0.737, 0.263)
Al (0.737, 0.263, 0.737)
Al (0.263, 0.737, 0.737)
Al (0.263, 0.263, 0.737)
Al (0.737, 0.263, 0.263)
Al (0.263, 0.737, 0.263)
Au (0.000, 0.000, 0.346)
Au (0.000, 0.346, 0.000)
Au (0.346, 0.000, 0.000)
Au (0.654, 0.346, 0.000)
Au (0.385, 0.385, 0.385)
Au (0.154, 0.615, 0.615)
Au (0.385, 0.846, 0.385)
Au (0.654, 0.000, 0.346)
Au (0.385, 0.385, 0.846)
Au (0.846, 0.385, 0.385)
Au (0.615, 0.615, 0.154)
Au (0.000, 0.000, 0.654)
Au (0.346, 0.654, 0.000)
Au (0.000, 0.654, 0.346)
Au (0.000, 0.346, 0.654)
Au (0.654, 0.000, 0.000)
Au (0.615, 0.615, 0.615)
Au (0.000, 0.654, 0.000)
Au (0.615, 0.154, 0.615)
Au (0.346, 0.000, 0.654)

Energy of formation from the pure elements: -0.30 eV/atom
Symmetry: Fm-3m, No. 225